A geometry-optimized Rb3Ga3Sn8 structure. Source: Alexandria via LeMat-Bulk, functional PBE.

Cell and atoms, written as CIF:
```
data_Rb3Ga3Sn8
_space_group_name_H-M_alt 'I m m m'
_space_group_IT_number 71
_space_group_name_Hall '-I 2 2'
_cell_length_a 5.167
_cell_length_b 12.049
_cell_length_c 13.837
_cell_angle_alpha 90.00
_cell_angle_beta 90.00
_cell_angle_gamma 90.00
loop_
_atom_site_label
_atom_site_type_symbol
_atom_site_fract_x
_atom_site_fract_y
_atom_site_fract_z
_atom_site_occupancy
Rb1 Rb 0.000 0.000 0.000 1
Rb2 Rb 0.000 0.000 0.301 1
Ga1 Ga 0.000 0.187 0.500 1
Ga2 Ga 0.000 0.500 0.000 1
Sn1 Sn 0.000 0.285 0.133 1
Sn2 Sn 0.000 0.358 0.351 1
```

Results
* DFT total energy: -3.224 eV per atom
* magnetic moment: 0.00 μB/f.u.
* energy relative to the elements: -7.8 kJ/mol of atoms